# KBa2La PBE relaxed
# DFT formation energy (eV/f.u.): 1.116
# Magnetic moment (μB/atom): 0.001
data_KBa2La
_chemical_formula_sum 'K2 Ba4 La2'
_cell_length_a 13.787
_cell_length_b 4.077
_cell_length_c 7.973
_cell_angle_alpha 90.00
_cell_angle_beta 97.56
_cell_angle_gamma 90.00
_space_group_name_H-M_alt 'C 1 2/m 1'
_space_group_IT_number 12
loop_
_space_group_symop_operation_xyz
'x,y,z'
'-x,-y,-z'
'-x,y,-z'
'x,-y,z'
'x+1/2,y+1/2,z'
'-x+1/2,-y+1/2,-z'
'-x+1/2,y+1/2,-z'
'x+1/2,-y+1/2,z'
loop_
_atom_site_label
_atom_site_fract_x
_atom_site_fract_y
_atom_site_fract_z
_atom_site_occupancy
K1 0.000 0.000 0.000 1
Ba1 0.241 0.000 0.731 1
La1 0.000 0.500 0.500 1